Entry 1:
A plane-wave DFT calculation with PBE was carried out for a relaxed Dy5PaN6 crystal.

Output
Energy relative to the elements, uncorrected (eV/atom): -1.74

Cell lengths 6.0215, 10.4232, 6.0165 Å; angles 90.00, 109.49, 90.00 degrees
Last column: nearest neighbours and their distance in Å.
Space group C2/m (No. 12)
Unique sites:
1 Dy 0.0000 0.0000 0.0000 x2  6 N 2.45-2.55
2 Dy 0.0000 0.1664 0.5000 x4  6 N 2.46-2.47
3 Dy 0.0000 0.3317 0.0000 x4  6 N 2.45-2.52
4 Pa 0.0000 0.5000 0.5000 x2  6 N 2.37-2.38
5 N 0.2399 0.5000 0.2586 x4  1 Pa 2.37, 5 Dy 2.46-2.55
6 N 0.2422 0.3395 0.7445 x8  1 Pa 2.38, 5 Dy 2.45-2.52



Entry 2:
A plane-wave DFT calculation with PBE was carried out for a relaxed DyPa5N6 crystal.

Output
Energy relative to the elements, uncorrected (eV/atom): -1.64

Cell lengths 6.0541, 10.4800, 6.0514 Å; angles 90.00, 109.45, 90.00 degrees
Last column: nearest neighbours and their distance in Å.
Space group C2/m (No. 12)
Unique sites:
1 Dy 0.0000 0.0000 0.0000 x2  6 N 2.47
2 Pa 0.0000 0.1652 0.5000 x4  6 N 2.47-2.48
3 Pa 0.0000 0.3331 0.0000 x4  6 N 2.46-2.47
4 Pa 0.0000 0.5000 0.5000 x2  6 N 2.47-2.48
5 N 0.2485 0.5000 0.2490 x4  5 Pa 2.47, 1 Dy 2.47
6 N 0.2501 0.1672 0.2489 x8  5 Pa 2.46-2.48, 1 Dy 2.47



Entry 3:
A plane-wave DFT calculation with PBE was carried out for a relaxed Dy2PaN crystal.

Output
Energy relative to the elements, uncorrected (eV/atom): -0.56

Cell lengths 3.3183, 3.3183, 28.1573 Å; angles 90.00, 90.00, 120.00 degrees
Last column: nearest neighbours and their distance in Å.
Space group R-3m (No. 166, hexagonal axes)
Unique sites:
1 Dy 0.0000 0.0000 0.1176 x6  3 N 2.36
2 Pa 0.0000 0.0000 0.0000 x3  2 Dy 3.31, 6 Pa 3.32
3 N 0.0000 0.0000 0.5000 x3  6 Dy 2.36



Entry 4:
A plane-wave DFT calculation with PBE was carried out for a relaxed Dy3Pa4N8 crystal.

Output
Energy relative to the elements, uncorrected (eV/atom): -1.51

Cell lengths 9.7552, 9.8979, 6.9007 Å; angles 90.00, 134.14, 90.00 degrees
Last column: nearest neighbours and their distance in Å.
Space group C2/m (No. 12)
Unique sites:
1 Dy 0.0000 0.0000 0.0000 x2  6 N 2.48-2.58
2 Dy 0.2500 0.2500 0.0000 x4  6 N 2.44-2.49
3 Pa 0.0000 0.0000 0.5000 x2  6 N 2.29-2.32
4 Pa 0.0000 0.5000 0.0000 x2  6 N 2.31-2.46
5 Pa 0.2500 0.2500 0.5000 x4  6 N 2.44-2.48
6 N 0.0000 0.2342 0.5000 x4  3 Pa 2.32-2.44, 2 Dy 2.48
7 N 0.0000 0.2510 0.0000 x4  3 Dy 2.44-2.48, 3 Pa 2.46-2.48
8 N 0.2390 0.0000 0.5053 x4  4 Pa 2.31-2.48, 1 Dy 2.50
9 N 0.2447 0.0000 0.9606 x4  2 Pa 2.29-2.31, 2 Dy 2.49



Entry 5:
A plane-wave DFT calculation with PBE was carried out for a relaxed Dy2PaN4 crystal.

Output
Energy relative to the elements, uncorrected (eV/atom): -1.49

Cell lengths 5.8852, 9.7877, 3.5785 Å; angles 90.00, 90.00, 90.00 degrees
Last column: nearest neighbours and their distance in Å.
Space group Pbam (No. 55)
Unique sites:
1 Dy 0.0604 0.1750 0.0000 x4  6 N 2.31-2.50
2 Pa 0.0000 0.5000 0.5000 x2  6 N 2.18-2.31
3 N 0.1560 0.7025 0.5000 x4  1 Pa 2.18
4 N 0.2388 0.4596 0.0000 x4  2 Dy 2.31-2.42, 2 Pa 2.31



Entry 6:
A plane-wave DFT calculation with PBE was carried out for a relaxed Dy3Pa2N4 crystal.

Output
Energy relative to the elements, uncorrected (eV/atom): -1.37

Cell lengths 11.5635, 3.4537, 8.6407 Å; angles 90.00, 120.25, 90.00 degrees
Last column: nearest neighbours and their distance in Å.
Space group C2/m (No. 12)
Unique sites:
1 Dy 0.0000 0.0000 0.0000 x2  6 N 2.43-2.47
2 Dy 0.2034 0.0000 0.8071 x4  5 N 2.45-2.50
3 Pa 0.1014 0.5000 0.3910 x4  4 N 2.35-2.52
4 N 0.0949 0.5000 0.8922 x4  1 Pa 2.35, 5 Dy 2.45-2.47
5 N 0.1958 0.0000 0.2995 x4  3 Pa 2.38-2.52, 3 Dy 2.43-2.50



Entry 7:
A plane-wave DFT calculation with PBE was carried out for a relaxed DyPa2N4 crystal.

Output
Energy relative to the elements, uncorrected (eV/atom): -1.50
Relative energy among the computed polymorphs (meV/atom): 26

Cell lengths 12.0591, 3.5134, 6.0347 Å; angles 90.00, 117.54, 90.00 degrees
Last column: nearest neighbours and their distance in Å.
Space group C2/m (No. 12)
Unique sites:
1 Dy 0.0000 0.0000 0.0000 x2  6 N 2.39-2.51
2 Pa 0.2020 0.5000 0.7020 x4  4 N 2.23-2.34
3 N 0.1457 0.0000 0.4358 x4  3 Pa 2.26-2.34, 1 Dy 2.39
4 N 0.1526 0.5000 0.0153 x4  1 Pa 2.23



Entry 8:
A plane-wave DFT calculation with PBE was carried out for a relaxed Dy4PaN5 crystal.

Output
Energy relative to the elements, uncorrected (eV/atom): -1.73

Cell lengths 7.7697, 7.7697, 4.9188 Å; angles 90.00, 90.00, 90.00 degrees
Last column: nearest neighbours and their distance in Å.
Space group I4/m (No. 87)
Unique sites:
1 Dy 0.0993 0.3024 0.0000 x8  6 N 2.43-2.55
2 Pa 0.0000 0.0000 0.5000 x2  6 N 2.35-2.46
3 N 0.0000 0.0000 0.0000 x2  2 Pa 2.46, 4 Dy 2.47
4 N 0.0941 0.2879 0.5000 x8  1 Pa 2.35, 5 Dy 2.43-2.55



Entry 9:
A plane-wave DFT calculation with PBE was carried out for a relaxed DyPa3N4 crystal.

Output
Energy relative to the elements, uncorrected (eV/atom): -1.65

Cell lengths 6.9887, 9.8595, 3.4924 Å; angles 90.00, 90.00, 90.00 degrees
Last column: nearest neighbours and their distance in Å.
Space group Cmmm (No. 65)
Unique sites:
1 Dy 0.0000 0.0000 0.0000 x2  6 N 2.45-2.48
2 Pa 0.0000 0.5000 0.0000 x2  6 N 2.46-2.48
3 Pa 0.2500 0.2500 0.5000 x4  6 N 2.46-2.47
4 N 0.0000 0.2488 0.0000 x4  1 Dy 2.45, 5 Pa 2.47-2.48
5 N 0.2476 0.5000 0.5000 x4  4 Pa 2.46, 2 Dy 2.48



Entry 10:
A plane-wave DFT calculation with PBE was carried out for a relaxed DyPa2N4 crystal.

Output
Energy relative to the elements, uncorrected (eV/atom): -1.53
Relative energy among the computed polymorphs (meV/atom): 0

Cell lengths 7.4058, 7.4058, 7.0674 Å; angles 90.00, 90.00, 90.00 degrees
Last column: nearest neighbours and their distance in Å.
Space group I-42d (No. 122)
Unique sites:
1 Dy 0.0000 0.0000 0.0000 x4  8 N 2.43-2.69
2 Pa 0.1421 0.7500 0.6250 x8  4 N 2.28-2.36
3 N 0.0616 0.6849 0.9284 x16  2 Pa 2.28-2.36, 1 Dy 2.43



Entry 11:
A plane-wave DFT calculation with PBE was carried out for a relaxed DyPaPdN3 crystal.

Output
Energy relative to the elements, uncorrected (eV/atom): -1.01

Cell lengths 6.4131, 3.5209, 9.2280 Å; angles 90.00, 96.56, 90.00 degrees
Last column: nearest neighbours and their distance in Å.
Space group P2_1/m (No. 11)
Unique sites:
1 Dy 0.1252 0.2500 0.1586 x2  5 N 2.27-2.53
2 Pa 0.3758 0.2500 0.8383 x2  3 N 2.15-2.31
3 Pd 0.0853 0.7500 0.5954 x2  2 N 2.10
4 N 0.0419 0.2500 0.7129 x2  2 Pd 2.10, 1 Pa 2.31
5 N 0.2426 0.7500 0.9878 x2  2 Pa 2.45, 3 Dy 2.53-2.58
6 N 0.4753 0.2500 0.2347 x2  2 Pa 2.15, 1 Dy 2.27



Entry 12:
A plane-wave DFT calculation with PBE was carried out for a relaxed DyPa2PdN5 crystal.

Output
Energy relative to the elements, uncorrected (eV/atom): -1.03

Cell lengths 3.5208, 12.9985, 10.9108 Å; angles 90.00, 90.00, 90.00 degrees
Last column: nearest neighbours and their distance in Å.
Space group Cmc2_1 (No. 36)
Unique sites:
1 Dy 0.0000 0.2038 0.0000 x4  4 N 2.23-2.35
2 Pa 0.0000 0.0996 0.6862 x4  4 N 2.22-2.34
3 Pa 0.0000 0.1462 0.2840 x4  6 N 2.25-2.48
4 Pd 0.0000 0.4771 0.4635 x4  3 N 2.04-2.26
5 N 0.0000 0.0578 0.1072 x4  2 Pa 2.22-2.25, 1 Dy 2.23, 2 Pd 2.40
6 N 0.0000 0.2735 0.6796 x4  3 Pa 2.26-2.34
7 N 0.0000 0.3255 0.3615 x4  1 Pd 2.26, 2 Dy 2.35, 1 Pa 2.48
8 N 0.0000 0.3772 0.0477 x4  1 Pd 2.11, 1 Dy 2.31, 2 Pa 2.34
9 N 0.0000 0.4695 0.7881 x4  1 Pd 2.04



Entry 13:
A plane-wave DFT calculation with PBE was carried out for a relaxed Dy2PaPdN4 crystal.

Output
Energy relative to the elements, uncorrected (eV/atom): -1.11

Cell lengths 5.9736, 3.4270, 6.1320 Å; angles 90.00, 114.27, 90.00 degrees
Last column: nearest neighbours and their distance in Å.
Space group P2/m (No. 10)
Unique sites:
1 Dy 0.0000 0.0000 0.0000 x1  6 N 2.30-2.40
2 Dy 0.5000 0.5000 0.0000 x1  6 N 2.44-2.66
3 Pa 0.0000 0.5000 0.5000 x1  6 N 2.34-2.43
4 Pd 0.5000 0.0000 0.5000 x1  4 N 2.35
5 N 0.2136 0.0000 0.7628 x2  3 Dy 2.30-2.44, 2 Pa 2.34
6 N 0.2430 0.5000 0.2656 x2  2 Pd 2.35, 2 Dy 2.40, 1 Pa 2.43



Entry 14:
A plane-wave DFT calculation with PBE was carried out for a relaxed Pm3Dy2PaN6 crystal.

Output
Energy relative to the elements, uncorrected (eV/atom): -1.62

Cell lengths 6.1220, 10.6019, 6.1588 Å; angles 90.00, 109.30, 90.00 degrees
Last column: nearest neighbours and their distance in Å.
Space group C2/m (No. 12)
Unique sites:
1 Pm 0.0000 0.0000 0.0000 x2  6 N 2.54-2.64
2 Pm 0.0000 0.3316 0.0000 x4  6 N 2.54-2.62
3 Dy 0.0000 0.1662 0.5000 x4  6 N 2.47-2.48
4 Pa 0.0000 0.5000 0.5000 x2  6 N 2.37
5 N 0.2369 0.3402 0.7313 x8  1 Pa 2.37, 2 Dy 2.48, 3 Pm 2.54-2.62
6 N 0.2425 0.5000 0.2696 x4  1 Pa 2.37, 2 Dy 2.47, 3 Pm 2.55-2.64



Entry 15:
A plane-wave DFT calculation with PBE was carried out for a relaxed Pm4DyPa3N8 crystal.

Output
Energy relative to the elements, uncorrected (eV/atom): -1.61

Cell lengths 7.0886, 7.0886, 17.4582 Å; angles 90.00, 90.00, 120.00 degrees
Last column: nearest neighbours and their distance in Å.
Space group R-3m (No. 166, hexagonal axes)
Unique sites:
1 Pm 0.0000 0.0000 0.0000 x3  6 N 2.57
2 Pm 0.0000 0.5000 0.0000 x9  6 N 2.62-2.64
3 Dy 0.0000 0.0000 0.5000 x3  6 N 2.47
4 Pa 0.0000 0.5000 0.5000 x9  6 N 2.39-2.41
5 N 0.0000 0.0000 0.2395 x6  3 Pa 2.41, 3 Pm 2.62
6 N 0.0106 0.5053 0.7601 x18  2 Pa 2.39, 1 Dy 2.47, 3 Pm 2.57-2.64



Entry 16:
A plane-wave DFT calculation with PBE was carried out for a relaxed Pr4DyPa3N8 crystal.

Output
Energy relative to the elements, uncorrected (eV/atom): -1.56

Cell lengths 7.1361, 7.1361, 17.7539 Å; angles 90.00, 90.00, 120.00 degrees
Last column: nearest neighbours and their distance in Å.
Space group R-3m (No. 166, hexagonal axes)
Unique sites:
1 Pr 0.0000 0.0000 0.0000 x3  6 N 2.63
2 Pr 0.0000 0.5000 0.0000 x9  6 N 2.69-2.71
3 Dy 0.0000 0.0000 0.5000 x3  6 N 2.47
4 Pa 0.0000 0.5000 0.5000 x9  6 N 2.38-2.40
5 N 0.0000 0.0000 0.2357 x6  3 Pa 2.40
6 N 0.0118 0.5059 0.7633 x18  2 Pa 2.38, 1 Dy 2.47, 1 Pr 2.63



Entry 17:
A plane-wave DFT calculation with PBE was carried out for a relaxed DyPa2PtN5 crystal.

Output
Energy relative to the elements, uncorrected (eV/atom): -1.03

Cell lengths 3.4792, 13.1915, 10.5474 Å; angles 90.00, 90.00, 90.00 degrees
Last column: nearest neighbours and their distance in Å.
Space group Cmc2_1 (No. 36)
Unique sites:
1 Dy 0.0000 0.2002 0.0000 x4  4 N 2.23-2.36
2 Pa 0.0000 0.1033 0.6833 x4  2 N 2.21-2.29
3 Pa 0.0000 0.1414 0.2925 x4  6 N 2.36-2.56
4 Pt 0.0000 0.4772 0.4532 x4  3 N 2.01-2.22
5 N 0.0000 0.0506 0.0993 x4  2 Pa 2.21-2.36, 1 Dy 2.23, 2 Pt 2.35
6 N 0.0000 0.2768 0.6777 x4  3 Pa 2.29-2.38
7 N 0.0000 0.3293 0.3531 x4  1 Pt 2.22, 2 Dy 2.36
8 N 0.0000 0.3719 0.0107 x4  1 Pt 2.08, 1 Dy 2.27
9 N 0.0000 0.4789 0.7704 x4  1 Pt 2.01



Entry 18:
A plane-wave DFT calculation with PBE was carried out for a relaxed Dy2PaPtN4 crystal.

Output
Energy relative to the elements, uncorrected (eV/atom): -1.10

Cell lengths 3.4018, 11.5662, 11.6855 Å; angles 90.00, 90.00, 90.00 degrees
Last column: nearest neighbours and their distance in Å.
Space group Cmcm (No. 63)
Unique sites:
1 Dy 0.0000 0.1266 0.0524 x8  3 N 2.33-2.34
2 Pa 0.0000 0.3837 0.2500 x4  6 N 2.32-2.46
3 Pt 0.0000 0.3517 0.7500 x4  4 N 2.16-2.26
4 N 0.0000 0.0202 0.2500 x4  2 Pt 2.26, 2 Pa 2.32
5 N 0.0000 0.2102 0.6297 x8  1 Pt 2.16, 1 Dy 2.34
6 N 0.0000 0.5000 0.0000 x4  4 Dy 2.33



Entry 19:
A plane-wave DFT calculation with PBE was carried out for a relaxed DyPu3Pa2N6 crystal.

Output
Energy relative to the elements, uncorrected (eV/atom): -1.48

Cell lengths 6.0691, 10.5078, 6.0486 Å; angles 90.00, 109.53, 90.00 degrees
Last column: nearest neighbours and their distance in Å.
Space group C2/m (No. 12)
Unique sites:
1 Dy 0.0000 0.0000 0.0000 x2  6 N 2.47
2 Pu 0.0000 0.1646 0.5000 x4  6 N 2.49-2.54
3 Pu 0.0000 0.5000 0.5000 x2  6 N 2.48-2.53
4 Pa 0.0000 0.3331 0.0000 x4  6 N 2.41-2.42
5 N 0.2384 0.5000 0.2371 x4  2 Pa 2.42, 1 Dy 2.47, 3 Pu 2.48-2.52
6 N 0.2498 0.1704 0.2377 x8  2 Pa 2.41-2.42, 1 Dy 2.47, 3 Pu 2.49-2.54



Entry 20:
A plane-wave DFT calculation with PBE was carried out for a relaxed DyPu2PaN4 crystal.

Output
Energy relative to the elements, uncorrected (eV/atom): -1.48

Cell lengths 6.0397, 3.5061, 6.0434 Å; angles 90.00, 109.47, 90.00 degrees
Last column: nearest neighbours and their distance in Å.
Space group P2/m (No. 10)
Unique sites:
1 Dy 0.0000 0.0000 0.0000 x1  6 N 2.45-2.48
2 Pu 0.5000 0.0000 0.5000 x1  6 N 2.47-2.48
3 Pu 0.5000 0.5000 0.0000 x1  6 N 2.53
4 Pa 0.0000 0.5000 0.5000 x1  6 N 2.40-2.42
5 N 0.2375 0.0000 0.7404 x2  2 Pa 2.42, 1 Dy 2.45, 3 Pu 2.48-2.53
6 N 0.2447 0.5000 0.2575 x2  1 Pa 2.40, 3 Pu 2.47-2.53, 2 Dy 2.48